# LiTm2ThIn4 (PBE, relaxed)
# DOS at the Fermi energy = 0.4151 states/eV/atom
# Calculated volume = 620 Å³/cell
# E = -95.84 eV/cell
# Total magnetization = 0.00 μB per formula unit
data_LiTm2ThIn4
_chemical_formula_sum 'Li3 Tm6 Th3 In12'
_symmetry_space_group_name_H-M 'R -3 m'
_symmetry_Int_Tables_number 166
_symmetry_space_group_name_Hall '-R 3 2"'
_cell_length_a 5.2030
_cell_length_b 5.2030
_cell_length_c 26.4547
_cell_angle_alpha 90.00
_cell_angle_beta 90.00
_cell_angle_gamma 120.00
loop_
_atom_site_label
_atom_site_type_symbol
_atom_site_fract_x
_atom_site_fract_y
_atom_site_fract_z
Li1 Li 0.0000 0.0000 0.0000
Tm1 Tm 0.0000 0.0000 0.2521
Th1 Th 0.0000 0.0000 0.5000
In1 In 0.0000 0.0000 0.1187
In2 In 0.0000 0.0000 0.3702